Entry from Alexandria: an optimized crystal structure of Ho4Ni2Hg5 (PBE).

a b c (Å): 7.5454 3.5545 9.4009
angles (deg): 90.00 93.39 90.00
Closest atoms and distances in Å follow each position.
Fractional positions:
Ho1 0.1766 0.0000 0.3407  2 Ni 2.77
Ho2 0.2202 0.0000 0.9370  4 Ni 2.82-2.84
Ho3 0.7798 0.0000 0.0630  4 Ni 2.82-2.84
Ho4 0.8234 0.0000 0.6593  2 Ni 2.77
Ni1 0.0667 0.5000 0.1281  1 Ni 2.55, 6 Ho 2.77-2.84, 2 Hg 2.85-2.86
Ni2 0.9333 0.5000 0.8719  1 Ni 2.55, 6 Ho 2.77-2.84, 2 Hg 2.85-2.86
Hg1 0.1652 0.5000 0.6439  1 Ni 2.85, 1 Hg 2.94, 2 Ho 3.14
Hg2 0.4450 0.5000 0.1675  1 Ni 2.86, 1 Hg 3.13
Hg3 0.5000 0.5000 0.5000  4 Hg 2.94-3.13
Hg4 0.5550 0.5000 0.8325  1 Ni 2.86, 1 Hg 3.13
Hg5 0.8348 0.5000 0.3561  1 Ni 2.85, 1 Hg 2.94, 2 Ho 3.14

Space group   P2/m, No. 10
DFT formation energy   -0.450 eV per atom

Entry from Alexandria: an optimized crystal structure of Ho6NiHg5 (PBE).

a b c (Å): 8.9075 8.9075 5.1502
angles (deg): 106.67 106.67 49.09
Closest atoms and distances in Å follow each position.
Fractional positions:
Ho1 0.0793 0.6049 0.3423  1 Ni 3.00, 7 Hg 3.11-3.23
Ho2 0.2291 0.7709 0.0000  2 Ni 3.08, 6 Hg 3.22-3.26, 1 Ho 3.39
Ho3 0.3951 0.9207 0.6577  1 Ni 3.00, 7 Hg 3.11-3.23
Ho4 0.6049 0.0793 0.3423  1 Ni 3.00, 7 Hg 3.11-3.23
Ho5 0.7709 0.2291 0.0000  2 Ni 3.08, 6 Hg 3.22-3.26, 1 Ho 3.39
Ho6 0.9207 0.3951 0.6577  1 Ni 3.00, 7 Hg 3.11-3.23
Ni1 0.0000 0.0000 0.5000  8 Ho 3.00-3.08
Hg1 0.1777 0.1777 0.1776  8 Ho 3.13-3.22
Hg2 0.3342 0.3342 0.8345  8 Ho 3.23-3.24, 2 Hg 3.52-3.53
Hg3 0.5000 0.5000 0.5000  8 Ho 3.11-3.26
Hg4 0.6658 0.6658 0.1655  8 Ho 3.23-3.24, 2 Hg 3.52-3.53
Hg5 0.8223 0.8223 0.8224  8 Ho 3.13-3.22

Space group   C2/m, No. 12
DFT formation energy   -0.455 eV per atom

Entry from Alexandria: an optimized crystal structure of Ho2NiHg (PBE).

a b c (Å): 7.1031 7.1031 7.1031
angles (deg): 90.00 90.00 90.00
Closest atoms and distances in Å follow each position.
Fractional positions:
Ho1 0.2500 0.2500 0.2500  4 Hg 3.08, 4 Ni 3.08
Ho2 0.2500 0.2500 0.7500  4 Hg 3.08, 4 Ni 3.08
Ho3 0.2500 0.7500 0.2500  4 Hg 3.08, 4 Ni 3.08
Ho4 0.2500 0.7500 0.7500  4 Hg 3.08, 4 Ni 3.08
Ho5 0.7500 0.2500 0.2500  4 Hg 3.08, 4 Ni 3.08
Ho6 0.7500 0.2500 0.7500  4 Hg 3.08, 4 Ni 3.08
Ho7 0.7500 0.7500 0.2500  4 Hg 3.08, 4 Ni 3.08
Ho8 0.7500 0.7500 0.7500  4 Ni 3.08, 4 Hg 3.08
Ni1 0.0000 0.0000 0.0000  8 Ho 3.08
Ni2 0.0000 0.5000 0.5000  8 Ho 3.08
Ni3 0.5000 0.0000 0.5000  8 Ho 3.08
Ni4 0.5000 0.5000 0.0000  8 Ho 3.08
Hg1 0.0000 0.0000 0.5000  8 Ho 3.08
Hg2 0.0000 0.5000 0.0000  8 Ho 3.08
Hg3 0.5000 0.0000 0.0000  8 Ho 3.08
Hg4 0.5000 0.5000 0.5000  8 Ho 3.08

Space group   Fm-3m, No. 225
DFT formation energy   -0.370 eV per atom

Entry from Alexandria: an optimized crystal structure of Ho2Ni2Hg3 (PBE).

a b c (Å): 3.9710 20.2395 3.6846
angles (deg): 90.00 90.00 90.00
Closest atoms and distances in Å follow each position.
Fractional positions:
Ho1 0.0000 0.1726 0.0000  6 Ni 2.85-2.91
Ho2 0.0000 0.8274 0.0000  6 Ni 2.85-2.91
Ho3 0.5000 0.3274 0.0000  6 Ni 2.85-2.91
Ho4 0.5000 0.6726 0.0000  6 Ni 2.85-2.91
Ni1 0.0000 0.2841 0.5000  2 Ni 2.42
Ni2 0.0000 0.7159 0.5000  2 Ni 2.42
Ni3 0.5000 0.2159 0.5000  2 Ni 2.42
Ni4 0.5000 0.7841 0.5000  2 Ni 2.42
Hg1 0.0000 0.0000 0.0000  8 Hg 3.17, 2 Ho 3.49
Hg2 0.0000 0.4184 0.5000  1 Ni 2.72
Hg3 0.0000 0.5816 0.5000  1 Ni 2.72
Hg4 0.5000 0.0816 0.5000  1 Ni 2.72
Hg5 0.5000 0.5000 0.0000  8 Hg 3.17, 2 Ho 3.49
Hg6 0.5000 0.9184 0.5000  1 Ni 2.72

Space group   Cmmm, No. 65
DFT formation energy   -0.387 eV per atom

Entry from Alexandria: an optimized crystal structure of Ho2NiHg (PBE).

a b c (Å): 3.9207 3.9207 22.5510
angles (deg): 90.00 90.00 120.00
Closest atoms and distances in Å follow each position.
Fractional positions:
Ho1 0.0000 0.0000 0.0000  3 Ni 2.73
Ho2 0.0000 0.0000 0.2013  3 Ni 2.69
Ho3 0.3333 0.6667 0.6667  3 Ni 2.73
Ho4 0.3333 0.6667 0.8680  3 Ni 2.69
Ho5 0.6667 0.3333 0.3333  3 Ni 2.73
Ho6 0.6667 0.3333 0.5347  3 Ni 2.69
Ni1 0.0000 0.0000 0.5993  6 Ho 2.69-2.73
Ni2 0.3333 0.6667 0.2660  6 Ho 2.69-2.73
Ni3 0.6667 0.3333 0.9326  6 Ho 2.69-2.73
Hg1 0.0000 0.0000 0.4346  6 Ho 3.20-3.22
Hg2 0.3333 0.6667 0.1013  6 Ho 3.20-3.22
Hg3 0.6667 0.3333 0.7679  6 Ho 3.20-3.22

Space group   R3m, No. 160
DFT formation energy   -0.337 eV per atom

Entry from Alexandria: an optimized crystal structure of Ho6Ni2Hg (PBE).

a b c (Å): 8.3361 8.3361 8.3361
angles (deg): 112.68 109.42 106.38
Closest atoms and distances in Å follow each position.
Fractional positions:
Ho1 0.0344 0.2343 0.8001  1 Ni 2.78, 1 Hg 3.03
Ho2 0.1824 0.2905 0.4729  3 Ni 2.89-3.16, 1 Hg 3.21
Ho3 0.1824 0.7095 0.8919  3 Ni 2.89-3.16, 1 Hg 3.21
Ho4 0.3253 0.0187 0.6934  3 Ni 2.70-2.86
Ho5 0.3253 0.6320 0.3066  3 Ni 2.70-2.86
Ho6 0.4342 0.2343 0.1999  1 Ni 2.78, 1 Hg 3.03
Ho7 0.5658 0.7657 0.8001  1 Ni 2.78, 1 Hg 3.03
Ho8 0.6747 0.3680 0.6934  3 Ni 2.70-2.86
Ho9 0.6747 0.9813 0.3066  3 Ni 2.70-2.86
Ho10 0.8176 0.2905 0.1081  3 Ni 2.89-3.16, 1 Hg 3.21
Ho11 0.8176 0.7095 0.5271  3 Ni 2.89-3.16, 1 Hg 3.21
Ho12 0.9656 0.7657 0.1999  1 Ni 2.78, 1 Hg 3.03
Ni1 0.1230 0.6230 0.5000  1 Ni 2.46, 2 Ho 2.70
Ni2 0.3556 0.0000 0.3556  6 Ho 2.78-2.86, 1 Ni 2.78
Ni3 0.6444 0.0000 0.6444  6 Ho 2.78-2.86, 1 Ni 2.78
Ni4 0.8770 0.3770 0.5000  1 Ni 2.46, 2 Ho 2.70
Hg1 0.0000 0.0000 0.0000  8 Ho 3.03-3.21
Hg2 0.5000 0.5000 0.0000  12 Ho 3.28-3.62

Space group   Immm, No. 71
DFT formation energy   -0.345 eV per atom